Model w:
Hf2Al3: optimized geometry, PBE. Values from VASP.

Summary:
**Spin magnetization**: 0.0 μB/cell
**Space group**: No. 166

```
&SYSTEM
  ibrav = 0, nat = 5, ntyp = 2
/
ATOMIC_SPECIES
Hf 178.49 Hf.upf
Al 26.98 Al.upf
ATOMIC_POSITIONS angstrom
Hf -4.2061 2.3388 4.6419
Hf -4.2969 2.7602 1.5593
Al 0.0000 0.0000 0.0000
Al -6.4094 3.9736 3.5584
Al -2.0936 1.1254 2.6428
CELL_PARAMETERS angstrom
-1.9705 4.0387 0.6102
-4.5207 0.3139 0.1761
-2.0119 0.7464 5.4150
```

---

Model x:
Hf2Al3: optimized geometry, PBE. Values from VASP.

Summary:
**Spin magnetization**: 0.0 μB/cell
**Space group**: No. 43

```
&SYSTEM
  ibrav = 0, nat = 10, ntyp = 2
/
ATOMIC_SPECIES
Hf 178.49 Hf.upf
Al 26.98 Al.upf
ATOMIC_POSITIONS angstrom
Hf -1.5388 -6.4442 -2.1947
Hf -7.5406 -7.9407 -2.5419
Hf -0.5095 -2.9303 -0.8814
Hf -4.0344 -4.2398 -1.5096
Al -4.6268 -6.7356 -2.8320
Al -6.8945 -10.3429 -4.0048
Al -6.2096 -6.0182 -0.8273
Al -2.8566 -8.4357 -3.8394
Al -5.0291 -9.3653 -2.3914
Al -3.6709 -7.0099 -0.3255
CELL_PARAMETERS angstrom
-4.9017 -5.2934 -4.2955
0.1907 -6.8580 -2.8819
-4.3599 -2.2781 2.4860
```

---

Relative energy table, unit eV/atom: model w 0.195; model x 0.000

---

Model w:
HfZrAlHg: optimized geometry, PBE. Values from VASP.

Summary:
**Spin magnetization**: 0.0 μB/cell
**Space group**: No. 216

```
&SYSTEM
  ibrav = 0, nat = 4, ntyp = 4
/
ATOMIC_SPECIES
Hf 178.49 Hf.upf
Hg 200.59 Hg.upf
Zr 91.22 Zr.upf
Al 26.98 Al.upf
ATOMIC_POSITIONS angstrom
Hf -5.8992 -2.1725 -6.3734
Hg 0.0000 0.0000 0.0000
Zr -1.9664 -0.7242 -2.1245
Al -3.9328 -1.4483 -4.2489
CELL_PARAMETERS angstrom
-3.4921 1.7077 -2.9383
-0.5163 -1.8260 -4.4883
-3.8572 -2.7784 -1.0712
```

---

Model x:
HfZrAlHg: optimized geometry, PBE. Values from VASP.

Summary:
**Spin magnetization**: 0.0 μB/cell
**Space group**: No. 99

```
&SYSTEM
  ibrav = 0, nat = 4, ntyp = 4
/
ATOMIC_SPECIES
Hf 178.49 Hf.upf
Zr 91.22 Zr.upf
Al 26.98 Al.upf
Hg 200.59 Hg.upf
ATOMIC_POSITIONS angstrom
Hf 1.5129 1.5129 2.9981
Zr 1.5129 1.5129 7.0382
Al 0.0000 0.0000 4.9971
Hg 0.0000 0.0000 0.6446
CELL_PARAMETERS angstrom
3.0258 0.0000 0.0000
0.0000 3.0258 0.0000
0.0000 0.0000 8.7847
```

---

Relative energy table, unit eV/atom: model w 0.139; model x 0.000